## TlHg2Au (SCAN)

Data for TlHg2Au at its PBEsol-relaxed geometry.

energy: -69.4118 eV/atom
DOS(E_F): 0.36 states/eV/atom
ΔH_f (0 K): 0.2 eV/f.u.
energy above the lowest structure with this stoichiometry: 0.153 eV/f.u.
calculated volume: 22.51 Å³/atom

Lattice parameters (Å, degrees): 3.378 3.378 7.890 90.00 90.00 90.00
Atoms (fractional coordinates):
Tl  0.000  0.000  0.000
Hg  0.500  0.500  0.286
Hg  0.500  0.500  0.714
Au  0.000  0.000  0.500

---

## CdH3Br (SCAN)

Data for CdH3Br at its PBEsol-relaxed geometry.

energy: -11.0554 eV/atom
DOS(E_F): 0.14 states/eV/atom
calculated volume: 12.44 Å³/atom

Lattice parameters (Å, degrees): 3.962 3.962 3.962 90.00 90.00 90.00
Atoms (fractional coordinates):
Cd  0.000  0.000  0.000
H  0.000  0.500  0.500
H  0.500  0.000  0.500
H  0.500  0.500  0.000
Br  0.500  0.500  0.500

---

## SnP3O9 (SCAN)

Data for SnP3O9 at its PBEsol-relaxed geometry.

energy: -11.6698 eV/atom
DOS(E_F): 0.00 states/eV/atom
ΔE_f (raw): -2.19 eV per atom
energy above the lowest structure with this stoichiometry: 0.000 eV/f.u.
calculated volume: 16.30 Å³/atom

Lattice parameters (Å, degrees): 6.857 6.857 10.410 90.00 90.00 120.00
Atoms (fractional coordinates):
Sn  0.000  0.000  0.000
Sn  0.000  0.000  0.500
P  0.122  0.395  0.277
P  0.122  0.727  0.723
P  0.273  0.395  0.723
P  0.273  0.878  0.277
P  0.605  0.727  0.277
P  0.605  0.878  0.723
O  0.050  0.303  0.146
O  0.050  0.747  0.854
O  0.101  0.487  0.699
O  0.101  0.614  0.301
O  0.246  0.003  0.390
O  0.246  0.244  0.610
O  0.253  0.303  0.854
O  0.253  0.950  0.146
O  0.386  0.487  0.301
O  0.386  0.899  0.699
O  0.513  0.614  0.699
O  0.513  0.899  0.301
O  0.697  0.747  0.146
O  0.697  0.950  0.854
O  0.756  0.003  0.610
O  0.756  0.754  0.390
O  0.997  0.244  0.390
O  0.997  0.754  0.610

---

## Ta2AsRu (SCAN)

Data for Ta2AsRu at its PBEsol-relaxed geometry.

energy: -47.1740 eV/atom
DOS(E_F): 0.82 states/eV/atom
ΔH_f (0 K): -0.5 eV/f.u.
calculated volume: 15.87 Å³/atom

Lattice parameters (Å, degrees): 2.906 2.906 7.514 90.00 90.00 90.00
Atoms (fractional coordinates):
Ta  0.000  0.000  0.000
Ta  0.500  0.500  0.297
As  0.000  0.000  0.552
Ru  0.500  0.500  0.742

---

## ZrCoRh (SCAN)

Data for ZrCoRh at its PBEsol-relaxed geometry.

energy: -27.0184 eV/atom
DOS(E_F): 0.72 states/eV/atom
ΔH_f (0 K): 0.7 eV/f.u.
calculated volume: 16.98 Å³/atom

Lattice parameters (Å, degrees): 4.161 4.161 4.161 60.00 60.00 60.00
Atoms (fractional coordinates):
Zr  0.000  0.000  0.000
Co  0.250  0.250  0.250
Rh  0.750  0.750  0.750

---

## Sc2CrTc (SCAN)

Data for Sc2CrTc at its PBEsol-relaxed geometry.

energy: -20.3482 eV/atom
DOS(E_F): 1.10 states/eV/atom
ΔH_f (0 K): 0.5 eV/f.u.
energy above the lowest structure with this stoichiometry: 0.206 eV/f.u.
calculated volume: 16.42 Å³/atom

Lattice parameters (Å, degrees): 5.178 5.178 5.178 143.43 126.36 66.67
Atoms (fractional coordinates):
Sc  0.239  0.239  0.000
Sc  0.761  0.761  0.000
Cr  0.500  0.000  0.500
Tc  0.000  0.500  0.500

---

## AlBP2H5NO9 (SCAN)

Data for AlBP2H5NO9 at its PBEsol-relaxed geometry.

energy: -8.2749 eV/atom
DOS(E_F): 0.00 states/eV/atom
calculated volume: 9.37 Å³/atom

Lattice parameters (Å, degrees): 9.340 8.319 9.482 90.00 104.89 90.00
Atoms (fractional coordinates):
Al  0.205  0.155  0.436
Al  0.205  0.345  0.936
Al  0.795  0.655  0.064
Al  0.795  0.845  0.564
B  0.332  0.558  0.196
B  0.332  0.942  0.696
B  0.668  0.058  0.304
B  0.668  0.442  0.804
P  0.072  0.061  0.704
P  0.072  0.439  0.204
P  0.414  0.241  0.231
P  0.414  0.259  0.731
P  0.586  0.741  0.269
P  0.586  0.759  0.769
P  0.928  0.561  0.796
P  0.928  0.939  0.296
H  0.097  0.685  0.519
H  0.097  0.815  0.019
H  0.139  0.550  0.658
H  0.139  0.950  0.158
H  0.182  0.507  0.497
H  0.182  0.993  0.997
H  0.276  0.652  0.612
H  0.276  0.848  0.112
H  0.386  0.567  0.996
H  0.386  0.933  0.496
H  0.614  0.067  0.504
H  0.614  0.433  0.004
H  0.724  0.152  0.888
H  0.724  0.348  0.388
H  0.818  0.007  0.003
H  0.818  0.493  0.503
H  0.861  0.050  0.842
H  0.861  0.450  0.342
H  0.903  0.185  0.981
H  0.903  0.315  0.481
N  0.174  0.598  0.569
N  0.174  0.902  0.069
N  0.826  0.098  0.931
N  0.826  0.402  0.431
O  0.077  0.155  0.566
O  0.077  0.345  0.066
O  0.079  0.016  0.304
O  0.079  0.484  0.804
O  0.112  0.163  0.843
O  0.112  0.337  0.343
O  0.188  0.581  0.227
O  0.188  0.919  0.727
O  0.303  0.536  0.036
O  0.303  0.964  0.536
O  0.341  0.217  0.070
O  0.341  0.283  0.570
O  0.349  0.133  0.328
O  0.349  0.367  0.828
O  0.413  0.079  0.776
O  0.413  0.421  0.276
O  0.415  0.707  0.238
O  0.415  0.793  0.738
O  0.585  0.207  0.262
O  0.585  0.293  0.762
O  0.587  0.579  0.724
O  0.587  0.921  0.224
O  0.651  0.633  0.172
O  0.651  0.867  0.672
O  0.659  0.717  0.430
O  0.659  0.783  0.930
O  0.697  0.036  0.464
O  0.697  0.464  0.964
O  0.812  0.081  0.273
O  0.812  0.419  0.773
O  0.888  0.663  0.657
O  0.888  0.837  0.157
O  0.921  0.516  0.196
O  0.921  0.984  0.696
O  0.923  0.655  0.934
O  0.923  0.845  0.434

---

## Sc3Mn (SCAN)

Data for Sc3Mn at its PBEsol-relaxed geometry.

energy: -14.6067 eV/atom
DOS(E_F): 1.15 states/eV/atom
ΔH_f (0 K): 2.5 eV/f.u.
calculated volume: 28.11 Å³/atom

Lattice parameters (Å, degrees): 4.827 4.827 4.827 90.00 90.00 90.00
Atoms (fractional coordinates):
Sc  0.000  0.000  0.500
Sc  0.000  0.500  0.000
Sc  0.500  0.000  0.000
Mn  0.000  0.000  0.000

---

## Ti2ReGe2 (SCAN)

Data for Ti2ReGe2 at its PBEsol-relaxed geometry.

energy: -28.8626 eV/atom
DOS(E_F): 0.58 states/eV/atom
ΔH_f (0 K): -3.0 eV/f.u.
calculated volume: 14.93 Å³/atom

Lattice parameters (Å, degrees): 6.514 6.514 3.519 90.00 90.00 90.00
Atoms (fractional coordinates):
Ti  0.168  0.332  0.000
Ti  0.332  0.832  0.000
Ti  0.668  0.168  0.000
Ti  0.832  0.668  0.000
Re  0.000  0.000  0.500
Re  0.500  0.500  0.500
Ge  0.135  0.635  0.500
Ge  0.365  0.135  0.500
Ge  0.635  0.865  0.500
Ge  0.865  0.365  0.500

---

## YTl2 (SCAN)

Data for YTl2 at its PBEsol-relaxed geometry.

energy: -57.9276 eV/atom
DOS(E_F): 0.56 states/eV/atom
ΔH_f (0 K): -1.2 eV/f.u.
calculated volume: 25.87 Å³/atom

Lattice parameters (Å, degrees): 6.503 4.604 10.368 90.00 90.00 90.00
Atoms (fractional coordinates):
Y  0.155  0.250  0.100
Y  0.345  0.750  0.600
Y  0.655  0.250  0.400
Y  0.845  0.750  0.900
Tl  0.097  0.250  0.765
Tl  0.142  0.250  0.421
Tl  0.358  0.750  0.921
Tl  0.403  0.750  0.265
Tl  0.597  0.250  0.735
Tl  0.642  0.250  0.079
Tl  0.858  0.750  0.579
Tl  0.903  0.750  0.235

---

## BaSrAs2 (SCAN)

Data for BaSrAs2 at its PBEsol-relaxed geometry.

energy: -26.3886 eV/atom
DOS(E_F): 0.72 states/eV/atom
ΔH_f (0 K): -3.3 eV/f.u.
energy above the lowest structure with this stoichiometry: 1.180 eV/f.u.
calculated volume: 29.34 Å³/atom

Lattice parameters (Å, degrees): 6.739 6.739 6.739 143.86 139.09 55.72
Atoms (fractional coordinates):
Ba  0.000  0.000  0.000
Sr  0.258  0.758  0.500
As  0.564  0.564  0.000
As  0.743  0.243  0.500

---

## CsAl2TlSb (SCAN)

Data for CsAl2TlSb at its PBEsol-relaxed geometry.

energy: -31.0123 eV/atom
DOS(E_F): 0.61 states/eV/atom
ΔE_f (raw): 1.57 eV per atom
calculated volume: 40.47 Å³/atom

Lattice parameters (Å, degrees): 5.793 5.793 6.031 90.00 90.00 90.00
Atoms (fractional coordinates):
Cs  0.000  0.000  0.000
Al  0.000  0.500  0.000
Al  0.500  0.000  0.000
Tl  0.000  0.000  0.500
Sb  0.500  0.500  0.500

---

## AlHgRh2 (SCAN)

Data for AlHgRh2 at its PBEsol-relaxed geometry.

energy: -36.2843 eV/atom
DOS(E_F): 0.37 states/eV/atom
ΔH_f (0 K): -1.7 eV/f.u.
energy above the lowest structure with this stoichiometry: 0.725 eV/f.u.
calculated volume: 14.96 Å³/atom

Lattice parameters (Å, degrees): 4.390 4.390 4.390 60.00 60.00 60.00
Atoms (fractional coordinates):
Al  0.000  0.000  0.000
Hg  0.500  0.500  0.500
Rh  0.250  0.250  0.250
Rh  0.750  0.750  0.750

---

## LiMoP2O7 (SCAN)

Data for LiMoP2O7 at its PBEsol-relaxed geometry.

energy: -11.5885 eV/atom
DOS(E_F): 0.00 states/eV/atom
ΔE_f (raw): -2.34 eV per atom
energy above the lowest structure with this stoichiometry: 0.138 eV/f.u.
calculated volume: 11.73 Å³/atom

Lattice parameters (Å, degrees): 6.437 6.448 6.844 84.19 66.72 82.00
Atoms (fractional coordinates):
Li  0.201  0.010  0.329
Li  0.799  0.990  0.671
Mo  0.408  0.350  0.721
Mo  0.592  0.650  0.279
P  0.149  0.610  0.151
P  0.280  0.867  0.736
P  0.720  0.133  0.264
P  0.851  0.390  0.849
O  0.095  0.411  0.699
O  0.119  0.957  0.633
O  0.128  0.781  0.968
O  0.274  0.407  0.042
O  0.276  0.706  0.259
O  0.430  0.022  0.759
O  0.443  0.672  0.623
O  0.557  0.328  0.377
O  0.570  0.978  0.241
O  0.724  0.294  0.741
O  0.726  0.593  0.958
O  0.872  0.219  0.032
O  0.881  0.043  0.367
O  0.905  0.589  0.301

---

## Zr2CrCu (SCAN)

Data for Zr2CrCu at its PBEsol-relaxed geometry.

energy: -23.6979 eV/atom
DOS(E_F): 0.80 states/eV/atom
ΔH_f (0 K): 0.2 eV/f.u.
calculated volume: 17.18 Å³/atom

Lattice parameters (Å, degrees): 3.206 3.206 6.689 90.00 90.00 90.00
Atoms (fractional coordinates):
Zr  0.000  0.000  0.000
Zr  0.500  0.500  0.315
Cr  0.000  0.000  0.565
Cu  0.500  0.500  0.756

---

## Zn3Ag (SCAN)

Data for Zn3Ag at its PBEsol-relaxed geometry.

energy: -18.0030 eV/atom
DOS(E_F): 0.21 states/eV/atom
ΔH_f (0 K): -0.1 eV/f.u.
calculated volume: 14.43 Å³/atom

Lattice parameters (Å, degrees): 5.509 5.509 4.394 90.00 90.00 120.00
Atoms (fractional coordinates):
Zn  0.165  0.329  0.250
Zn  0.165  0.835  0.250
Zn  0.329  0.165  0.750
Zn  0.671  0.835  0.250
Zn  0.835  0.165  0.750
Zn  0.835  0.671  0.750
Ag  0.333  0.667  0.750
Ag  0.667  0.333  0.250

---

## YTaMo2 (SCAN)

Data for YTaMo2 at its PBEsol-relaxed geometry.

energy: -40.6224 eV/atom
DOS(E_F): 1.44 states/eV/atom
ΔH_f (0 K): 1.7 eV/f.u.
energy above the lowest structure with this stoichiometry: 0.340 eV/f.u.
calculated volume: 17.87 Å³/atom

Lattice parameters (Å, degrees): 4.731 4.731 3.193 90.00 90.00 90.00
Atoms (fractional coordinates):
Y  0.000  0.000  0.000
Ta  0.500  0.500  0.000
Mo  0.000  0.500  0.500
Mo  0.500  0.000  0.500

---

## Sc2Ru (SCAN)

Data for Sc2Ru at its PBEsol-relaxed geometry.

energy: -21.5961 eV/atom
DOS(E_F): 0.38 states/eV/atom
ΔH_f (0 K): -1.5 eV/f.u.
calculated volume: 18.69 Å³/atom

Lattice parameters (Å, degrees): 7.154 7.154 3.795 90.00 90.00 120.00
Atoms (fractional coordinates):
Sc  0.000  0.411  0.000
Sc  0.000  0.743  0.500
Sc  0.257  0.257  0.500
Sc  0.411  0.000  0.000
Sc  0.589  0.589  0.000
Sc  0.743  0.000  0.500
Ru  0.000  0.000  0.000
Ru  0.333  0.667  0.500
Ru  0.667  0.333  0.500

---

## Hg3AsC (SCAN)

Data for Hg3AsC at its PBEsol-relaxed geometry.

energy: -45.7578 eV/atom
DOS(E_F): 0.73 states/eV/atom
ΔH_f (0 K): 6.0 eV/f.u.
calculated volume: 19.47 Å³/atom

Lattice parameters (Å, degrees): 4.600 4.600 4.600 90.00 90.00 90.00
Atoms (fractional coordinates):
Hg  0.000  0.000  0.500
Hg  0.000  0.500  0.000
Hg  0.500  0.000  0.000
As  0.500  0.500  0.500
C  0.000  0.000  0.000

---

## SrTaRe2 (SCAN)

Data for SrTaRe2 at its PBEsol-relaxed geometry.

energy: -57.0322 eV/atom
DOS(E_F): 0.72 states/eV/atom
ΔH_f (0 K): 2.9 eV/f.u.
energy above the lowest structure with this stoichiometry: 0.000 eV/f.u.
calculated volume: 18.72 Å³/atom

Lattice parameters (Å, degrees): 9.364 9.364 9.364 18.85 18.85 18.85
Atoms (fractional coordinates):
Sr  0.000  0.000  0.000
Ta  0.500  0.500  0.500
Re  0.238  0.238  0.238
Re  0.762  0.762  0.762